First-principles (GGA-PBE) data for a relaxed CdTe2Ru crystal, as listed in the Alexandria database.

Structure (POSCAR):
```
CdTe2Ru
1.0
-0.798 2.354 6.461
2.988 -1.981 5.922
0.175 2.392 -6.494
Te Ru Cd
2 1 1
Direct
0.079 0.079 0.000
0.421 0.421 0.000
0.250 0.750 0.500
0.750 0.250 0.500
```

Output
Formation energy without anion corrections, kJ per mole of atoms: 0.9
SG: Immm
Energy above the most stable polymorph in this dataset, meV/atom: 45
Fermi-level density of states, states/eV per cell: 2.093